(1)
## AlCuSnPt (PBE-GGA)

Data for crystalline AlCuSnPt at its relaxed geometry.

Unit cell a=6.426 b=6.426 c=6.426 alpha=90.00 beta=90.00 gamma=90.00
Space group F-43m (No. 216)
Unique sites:
Al: 0.000 0.000 0.000
Cu: 0.250 0.250 0.750
Sn: 0.000 0.000 0.500
Pt: 0.250 0.250 0.250

Calculated values
VASP energy = -4.5851 eV/atom
density = 10.12 g/cm3


(2)
## ThTeW (PBE-GGA)

Data for crystalline ThTeW at its relaxed geometry.

Unit cell a=6.781 b=6.781 c=6.781 alpha=90.00 beta=90.00 gamma=90.00
Space group F-43m (No. 216)
Unique sites:
Th: 0.000 0.000 0.000
Te: 0.000 0.000 0.500
W: 0.250 0.250 0.250

Calculated values
VASP energy = -7.4665 eV/atom
density = 11.57 g/cm3


(3)
## Nb2FeSb (PBE-GGA)

Data for crystalline Nb2FeSb at its relaxed geometry.

Unit cell a=6.448 b=6.448 c=6.448 alpha=90.00 beta=90.00 gamma=90.00
Space group F-43m (No. 216)
Unique sites:
Nb: 0.000 0.000 0.000
Nb: 0.250 0.250 0.250
Fe: 0.250 0.250 0.750
Sb: 0.000 0.000 0.500

Calculated values
VASP energy = -7.9719 eV/atom
density = 9.01 g/cm3


(4)
## Sc2Zn2Ni (PBE-GGA)

Data for crystalline Sc2Zn2Ni at its relaxed geometry.

Unit cell a=3.932 b=3.932 c=12.030 alpha=90.00 beta=90.00 gamma=90.00
Space group I4/mmm (No. 139)
Unique sites:
Sc: 0.000 0.500 0.250
Zn: 0.000 0.000 0.093
Ni: 0.000 0.000 0.500

Calculated values
formation energy from the elements = 357 meV per atom
density = 4.99 g/cm3


(5)
## Dy3Lu2ScTe2Os (PBE-GGA)

Data for crystalline Dy3Lu2ScTe2Os at its relaxed geometry.

Unit cell a=4.027 b=13.952 c=8.145 alpha=90.00 beta=90.00 gamma=90.00
Space group Amm2 (No. 38)
Unique sites:
Dy: 0.000 0.000 0.000
Dy: 0.000 0.193 0.593
Lu: 0.500 0.115 0.280
Sc: 0.500 0.000 0.636
Te: 0.500 0.165 0.897
Os: 0.000 0.000 0.421

Calculated values
VASP energy = -5.9460 eV/atom
density = 9.64 g/cm3


(6)
## HoZrGa2Au4 (PBE-GGA)

Data for crystalline HoZrGa2Au4 at its relaxed geometry.

Unit cell a=4.5718 b=4.5718 c=8.8103 alpha=90.00 beta=90.00 gamma=120.00
Space group P-6m2 (No. 187)
Unique sites:
Ho: 0.0000 0.0000 0.0000
Zr: 0.3333 0.6667 0.5000
Ga: 0.6667 0.3333 0.3220
Au: 0.0000 0.0000 0.3368
Au: 0.3333 0.6667 0.1612

Calculated values
VASP energy = -4.6274 eV/atom
density = 12.32 g/cm3


(7)
## LiCuTcGe (PBE-GGA)

Data for crystalline LiCuTcGe at its relaxed geometry.

Unit cell a=5.941 b=5.941 c=5.941 alpha=90.00 beta=90.00 gamma=90.00
Space group F-43m (No. 216)
Unique sites:
Li: 0.000 0.000 0.000
Cu: 0.000 0.000 0.500
Tc: 0.250 0.250 0.750
Ge: 0.250 0.250 0.250

Calculated values
VASP energy = -4.8404 eV/atom
density = 7.64 g/cm3


(8)
## YCuBiAu (PBE-GGA)

Data for crystalline YCuBiAu at its relaxed geometry.

Unit cell a=7.060 b=7.060 c=7.060 alpha=90.00 beta=90.00 gamma=90.00
Space group F-43m (No. 216)
Unique sites:
Y: 0.000 0.000 0.000
Cu: 0.250 0.250 0.750
Bi: 0.000 0.000 0.500
Au: 0.250 0.250 0.250

Calculated values
VASP energy = -4.7354 eV/atom
density = 10.54 g/cm3


(9)
## DyCuAu4 (PBE-GGA)

Data for crystalline DyCuAu4 at its relaxed geometry.

Unit cell a=3.585 b=3.585 c=8.813 alpha=90.00 beta=90.00 gamma=90.00
Space group P4/mmm (No. 123)
Unique sites:
Dy: 0.000 0.000 0.000
Cu: 0.500 0.500 0.500
Au: 0.000 0.000 0.346
Au: 0.500 0.500 0.186

Calculated values
formation energy from the elements = -383 meV per atom
density = 14.86 g/cm3


(10)
## KAl3In6Co2 (PBE-GGA)

Data for crystalline KAl3In6Co2 at its relaxed geometry.

Unit cell a=8.4300 b=8.4300 c=4.1189 alpha=90.00 beta=90.00 gamma=120.00
Space group P6/mmm (No. 191)
Unique sites:
K: 0.0000 0.0000 0.0000
Al: 0.0000 0.5000 0.0000
In: 0.2071 0.4143 0.5000
Co: 0.3333 0.6667 0.0000

Calculated values
VASP energy = -3.7515 eV/atom
density = 6.07 g/cm3


(11)
## NaErSeO (PBE-GGA)

Data for crystalline NaErSeO at its relaxed geometry.

Unit cell a=3.963 b=3.963 c=9.505 alpha=90.00 beta=90.00 gamma=90.00
Space group P4/nmm (No. 129, origin choice 2)
Unique sites:
Na: 0.250 0.750 0.000
Er: 0.250 0.250 0.390
Se: 0.250 0.250 0.790
O: 0.250 0.750 0.500

Calculated values
VASP energy = -5.7910 eV/atom
density = 6.34 g/cm3


(12)
## BeSiTcSb (PBE-GGA)

Data for crystalline BeSiTcSb at its relaxed geometry.

Unit cell a=6.247 b=6.247 c=6.247 alpha=90.00 beta=90.00 gamma=90.00
Space group F-43m (No. 216)
Unique sites:
Be: 0.000 0.000 0.000
Si: 0.250 0.250 0.750
Tc: 0.000 0.000 0.500
Sb: 0.250 0.250 0.250

Calculated values
VASP energy = -5.4519 eV/atom
density = 7.00 g/cm3


Q: Which of these has the lowest density?
A: Sc2Zn2Ni


Q: density of number 11 (NaErSeO)?
A: 6.34 g/cm3